No. 1
# PmDy6Ho6 (PBE-GGA, relaxed)
data_PmDy6Ho6
_chemical_formula_sum 'Pm1 Dy6 Ho6'
_symmetry_space_group_name_H-M 'P 1'
_symmetry_Int_Tables_number 1
_cell_length_a 6.5562
_cell_length_b 6.5562
_cell_length_c 11.0184
_cell_angle_alpha 90.00
_cell_angle_beta 90.00
_cell_angle_gamma 115.42
loop_
_symmetry_equiv_pos_as_xyz
'x,y,z'
loop_
_atom_site_label
_atom_site_fract_x
_atom_site_fract_y
_atom_site_fract_z
Pm1 0.0000 0.0000 0.0000
Dy1 0.0000 0.0000 0.6643
Dy2 0.0000 0.0000 0.3357
Dy3 0.3563 0.6437 0.0000
Dy4 0.6437 0.3563 0.0000
Dy5 0.2635 0.7365 0.5000
Dy6 0.7365 0.2635 0.5000
Ho1 0.0000 0.5000 0.7741
Ho2 0.5000 0.0000 0.7741
Ho3 0.5000 0.5000 0.6977
Ho4 0.5000 0.0000 0.2259
Ho5 0.0000 0.5000 0.2259
Ho6 0.5000 0.5000 0.3023
# E_form in eV/atom: 0.22
# Size of the total moment in μB per cell: 0.0
# Energy in eV/atom: -4.38

=====

No. 2
# PmDy2Ho7 (PBE-GGA, relaxed)
data_PmDy2Ho7
_chemical_formula_sum 'Pm1 Dy2 Ho7'
_symmetry_space_group_name_H-M 'P 1'
_symmetry_Int_Tables_number 1
_cell_length_a 6.1333
_cell_length_b 9.3528
_cell_length_c 9.3601
_cell_angle_alpha 141.76
_cell_angle_beta 109.01
_cell_angle_gamma 77.44
loop_
_symmetry_equiv_pos_as_xyz
'x,y,z'
loop_
_atom_site_label
_atom_site_fract_x
_atom_site_fract_y
_atom_site_fract_z
Pm1 0.0000 0.0000 0.0000
Dy1 0.4989 0.9008 0.5999
Dy2 0.5011 0.0992 0.4001
Ho1 0.9995 0.6004 0.3989
Ho2 0.0005 0.3996 0.6011
Ho3 0.4997 0.6984 0.7988
Ho4 0.5003 0.3016 0.2012
Ho5 0.0004 0.7994 0.2001
Ho6 0.9996 0.2006 0.7999
Ho7 0.5000 0.5000 0.0000
# E_form in eV/atom: 0.02
# Energy above the most stable polymorph in this dataset in meV per atom: 0
# Size of the total moment in μB per cell: 0.0
# Energy in eV/atom: -4.58

=====

No. 3
# Pm3Dy3Ho4 (PBE-GGA, relaxed)
data_Pm3Dy3Ho4
_chemical_formula_sum 'Pm3 Dy3 Ho4'
_symmetry_space_group_name_H-M 'P 1'
_symmetry_Int_Tables_number 1
_cell_length_a 3.6806
_cell_length_b 9.4216
_cell_length_c 9.4216
_cell_angle_alpha 90.20
_cell_angle_beta 90.00
_cell_angle_gamma 90.00
loop_
_symmetry_equiv_pos_as_xyz
'x,y,z'
loop_
_atom_site_label
_atom_site_fract_x
_atom_site_fract_y
_atom_site_fract_z
Pm1 0.5000 0.8268 0.1732
Pm2 0.5000 0.3256 0.3266
Pm3 0.5000 0.6734 0.6744
Dy1 0.0000 0.4961 0.9986
Dy2 0.0000 0.0014 0.5039
Dy3 0.5000 0.1739 0.8261
Ho1 0.0000 0.6252 0.3748
Ho2 0.0000 0.3739 0.6261
Ho3 0.0000 0.8772 0.8736
Ho4 0.0000 0.1264 0.1228
# E_form in eV/atom: 0.10
# Size of the total moment in μB per cell: 0.0
# Energy in eV/atom: -4.54

=====

No. 4
# Pm3Dy2Ho6 (PBE-GGA, relaxed)
data_Pm3Dy2Ho6
_chemical_formula_sum 'Pm3 Dy2 Ho6'
_symmetry_space_group_name_H-M 'P 1'
_symmetry_Int_Tables_number 1
_cell_length_a 5.6795
_cell_length_b 6.6716
_cell_length_c 11.8776
_cell_angle_alpha 78.29
_cell_angle_beta 61.53
_cell_angle_gamma 64.81
loop_
_symmetry_equiv_pos_as_xyz
'x,y,z'
loop_
_atom_site_label
_atom_site_fract_x
_atom_site_fract_y
_atom_site_fract_z
Pm1 0.0000 0.0000 0.0000
Pm2 0.2935 0.4130 0.0000
Pm3 0.7065 0.5870 0.0000
Dy1 0.1328 0.7343 0.5000
Dy2 0.8672 0.2657 0.5000
Ho1 0.4531 0.6985 0.6984
Ho2 0.7116 0.0000 0.7892
Ho3 0.1515 0.3015 0.6984
Ho4 0.2884 0.0000 0.2108
Ho5 0.5469 0.3015 0.3016
Ho6 0.8485 0.6985 0.3016
# E_form in eV/atom: 0.16
# Energy above the most stable polymorph in this dataset in meV per atom: 0
# Size of the total moment in μB per cell: 0.0
# Energy in eV/atom: -4.47